VASP calculation (GGA-PBE) on a relaxed ZnIn2Te2 crystal.

Summary:
DOS(E_F) (states/eV per atom): 0.6986
Spin magnetization (μB/f.u.): 0.0
Formation energy from raw total energies (meV/atom): -14.7
Relative energy among the computed polymorphs (meV/atom): 0
Calculated volume (Å³/cell): 302.1
Final energy (eV for the cell shown): -26.22

a b c (Å): 8.2178 8.2178 4.4733
angles (deg): 90.00 90.00 90.00
With the nearest neighbours (Å) after each atom.
Positions (direct):
In  0.1308  0.6308  0.5000  1 In 3.04, 2 Te 3.09
Te  0.1860  0.3140  0.0000  2 Zn 3.00, 2 In 3.09
Te  0.3140  0.8140  0.0000  2 Zn 3.00, 2 In 3.09
Te  0.6860  0.1860  0.0000  2 Zn 3.00, 2 In 3.09
Te  0.8140  0.6860  0.0000  2 Zn 3.00, 2 In 3.09
In  0.8692  0.3692  0.5000  1 In 3.04, 2 Te 3.09
In  0.3692  0.1308  0.5000  1 In 3.04, 2 Te 3.09
Zn  0.5000  0.5000  0.0000  4 Te 3.00
In  0.6308  0.8692  0.5000  1 In 3.04, 2 Te 3.09
Zn  0.0000  0.0000  0.0000  4 Te 3.00

=====

VASP calculation (GGA-PBE) on a relaxed TiBeCd2N crystal.

Summary:
DOS(E_F) (states/eV per atom): 0.5236
Spin magnetization (μB/f.u.): 0.8
Formation energy from raw total energies (meV/atom): 305.4
Calculated volume (Å³/cell): 85.8
Final energy (eV for the cell shown): -20.25

a b c (Å): 5.3363 3.0145 5.3363
angles (deg): 90.00 90.00 90.00
With the nearest neighbours (Å) after each atom.
Positions (direct):
Be  0.0000  0.0000  0.0000  2 N 1.51
Ti  0.5000  0.5000  0.5000  2 Ti 3.01, 8 Cd 3.06
Cd  0.0000  0.0000  0.5000  2 Be 2.67
Cd  0.5000  0.0000  0.0000  2 Be 2.67
N  0.0000  0.5000  0.0000  2 Be 1.51